LaBe2Ag PBE-GGA relaxed; energy of formation from the pure elements = 0.049 eV/atom; excess energy over the best structure of this formula in the dataset = 28 meV/atom; size of the total moment = 0.00 μB/atom; raw total energy = -3.76 eV per atom; crystal system = trigonal
1.0
4.0393 -0.0033 0.0110
2.0230 3.4961 0.0110
2.0097 1.1579 5.3700
La Ag Be
1 1 2
direct
0.4954 0.4954 0.5141
0.3031 0.3031 0.0907
0.0098 0.0098 0.9705
0.6917 0.6917 0.9246

***

LaBeAg2 PBE-GGA relaxed; energy of formation from the pure elements = 0.320 eV/atom; size of the total moment = 0.00 μB/atom; raw total energy = -3.27 eV per atom; crystal system = tetragonal
1.0
4.4804 0.0000 0.0000
0.0000 4.4804 0.0000
0.0000 0.0000 4.4565
Ag La Be
2 1 1
direct
0.5000 0.5000 0.0000
0.0000 0.0000 0.0000
0.0000 0.5000 0.5000
0.5000 0.0000 0.5000

***

LaBeAg PBE-GGA relaxed; energy of formation from the pure elements = -0.018 eV/atom; excess energy over the best structure of this formula in the dataset = 0 meV/atom; size of the total moment = 0.00 μB/atom; raw total energy = -3.85 eV per atom; crystal system = hexagonal
1.0
4.4425 0.0000 0.0000
-2.2213 3.8473 0.0000
0.0000 0.0000 3.9227
La Be Ag
1 1 1
direct
0.3333 0.6667 0.6667
0.6667 0.3333 0.1668
0.0000 0.0000 0.1668

***

LaBe2Ag2 PBE-GGA relaxed; energy of formation from the pure elements = 0.287 eV/atom; excess energy over the best structure of this formula in the dataset = 269 meV/atom; size of the total moment = 0.00 μB/atom; raw total energy = -3.33 eV per atom; crystal system = tetragonal
1.0
7.8688 0.0000 0.0000
0.0000 7.8688 0.0000
0.0000 0.0000 2.8474
La Be Ag
2 4 4
direct
0.0000 0.0000 0.0000
0.5000 0.5000 0.0000
0.8350 0.3350 0.5000
0.3350 0.1650 0.5000
0.6650 0.8350 0.5000
0.1650 0.6650 0.5000
0.3747 0.8747 0.0000
0.6253 0.1253 0.0000
0.8747 0.6253 0.0000
0.1253 0.3747 0.0000